Here is HgAs2 at its PBEsol-relaxed geometry from Alexandria via LeMat-Bulk. Energies are from SCAN.

abc: 3.7191 3.7191 5.5732
angles: 90.00 90.00 120.00
Fractional positions:
Hg 0.0000 0.0000 0.0000
As 0.3333 0.6667 0.3758
As 0.6667 0.3333 0.6242

Computed properties:
SG   No. 164
Total magnetization   0.000 Bohr magnetons per cell
Energy   -36.114 eV per atom

=====

Here is TeAs2Pt at its PBEsol-relaxed geometry from Alexandria via LeMat-Bulk. Energies are from SCAN.

abc: 3.8432 3.8432 19.2497
angles: 90.00 90.00 120.00
Fractional positions:
Te 0.0000 0.0000 0.0000
Te 0.3333 0.6667 0.6667
Te 0.6667 0.3333 0.3333
As 0.0000 0.0000 0.2330
As 0.0000 0.0000 0.7670
As 0.3333 0.6667 0.4337
As 0.3333 0.6667 0.8996
As 0.6667 0.3333 0.1004
As 0.6667 0.3333 0.5663
Pt 0.0000 0.0000 0.5000
Pt 0.3333 0.6667 0.1667
Pt 0.6667 0.3333 0.8333

Computed properties:
SG   No. 166
Total magnetization   0.000 Bohr magnetons per cell
Uncorrected formation energy   -0.70 eV/f.u.

=====

Here is AlAg3 at its PBEsol-relaxed geometry from Alexandria via LeMat-Bulk. Energies are from SCAN.

abc: 2.8976 2.8976 8.9454
angles: 90.00 90.00 120.00
Fractional positions:
Al 0.0000 0.0000 0.0000
Ag 0.0000 0.0000 0.5000
Ag 0.6667 0.3333 0.2386
Ag 0.6667 0.3333 0.7614

Computed properties:
SG   No. 187
Total magnetization   0.000 Bohr magnetons per cell
Energy   -25.536 eV per atom

=====

Here is ZrCr2Si at its PBEsol-relaxed geometry from Alexandria via LeMat-Bulk. Energies are from SCAN.

abc: 6.0227 6.0227 6.0227
angles: 90.00 90.00 90.00
Fractional positions:
Zr 0.0000 0.0000 0.0000
Zr 0.0000 0.5000 0.5000
Zr 0.5000 0.0000 0.5000
Zr 0.5000 0.5000 0.0000
Cr 0.2500 0.2500 0.2500
Cr 0.2500 0.2500 0.7500
Cr 0.2500 0.7500 0.2500
Cr 0.2500 0.7500 0.7500
Cr 0.7500 0.2500 0.2500
Cr 0.7500 0.2500 0.7500
Cr 0.7500 0.7500 0.2500
Cr 0.7500 0.7500 0.7500
Si 0.0000 0.0000 0.5000
Si 0.0000 0.5000 0.0000
Si 0.5000 0.0000 0.0000
Si 0.5000 0.5000 0.5000

Computed properties:
SG   No. 225
Total magnetization   16.007 Bohr magnetons per cell
Uncorrected formation energy   -0.83 eV/f.u.

=====

Here is Mn3SiSe at its PBEsol-relaxed geometry from Alexandria via LeMat-Bulk. Energies are from SCAN.

abc: 4.4020 4.4020 4.4020
angles: 90.00 90.00 90.00
Fractional positions:
Mn 0.0000 0.0000 0.5000
Mn 0.0000 0.5000 0.0000
Mn 0.5000 0.0000 0.0000
Si 0.0000 0.0000 0.0000
Se 0.5000 0.5000 0.5000

Computed properties:
SG   No. 221
Total magnetization   10.925 Bohr magnetons per cell
Uncorrected formation energy   1.71 eV/f.u.

=====

Here is CoReNi at its PBEsol-relaxed geometry from Alexandria via LeMat-Bulk. Energies are from SCAN.

abc: 3.9885 3.9885 2.5113
angles: 90.00 90.00 120.00
Fractional positions:
Co 0.0000 0.0000 0.0000
Re 0.3333 0.6667 0.5000
Ni 0.6667 0.3333 0.0000

Computed properties:
SG   No. 187
Total magnetization   0.924 Bohr magnetons per cell
Energy relative to the lowest polymorph listed for this composition   54 meV per atom